VASP calculation (GGA-PBE) on a relaxed structure of ErBe2Cu.

Unit cell a=5.2427 b=5.2427 c=5.2427 alpha=42.50 beta=42.50 gamma=42.50
Closest atoms and distances in Å follow each position.
Element x y z (fractional)
Er1 0.0000 0.0000 0.0000  8 Be 2.78-2.96
Be1 0.1947 0.1947 0.1947  3 Cu 2.23, 3 Be 2.34
Be2 0.8053 0.8053 0.8053  3 Cu 2.23, 3 Be 2.34
Cu1 0.5000 0.5000 0.5000  6 Be 2.23

Calculated values
SG: R-3m, No. 166
E_tot: -4.143 eV/atom
total magnetization: 0.0 μB/f.u.
ΔH_f (0 K): -11.1 kJ per mole of atoms
DOS(E_F): 3.09 states/eV/cell